# Na2Li2NiO4 | Alexandria via LeMat-Bulk | GGA+U | optimized geometry
data_Na2Li2NiO4
_symmetry_space_group_name_H-M 'C 1 2/m 1'
_symmetry_Int_Tables_number 12
_cell_length_a 11.439
_cell_length_b 3.089
_cell_length_c 5.893
_cell_angle_alpha 90.00
_cell_angle_beta 117.19
_cell_angle_gamma 90.00
loop_
_symmetry_equiv_pos_as_xyz
'x,y,z'
'-x,-y,-z'
'-x,y,-z'
'x,-y,z'
'x+1/2,y+1/2,z'
'-x+1/2,-y+1/2,-z'
'-x+1/2,y+1/2,-z'
'x+1/2,-y+1/2,z'
loop_
_atom_site_label
_atom_site_fract_x
_atom_site_fract_y
_atom_site_fract_z
_atom_site_occupancy
Na1 0.150 0.000 0.029 1
Li1 0.174 0.500 0.475 1
Ni1 0.000 0.000 0.500 1
O1 0.006 0.500 0.721 1
O2 0.195 0.000 0.665 1
# Density = 3.3 g/cm3
# Total DFT energy (no corrections) = -4.43 eV per atom